(1)
# NaTc3Ni

A relaxed NaTc3Ni crystal (PBE-GGA, Alexandria via LeMat-Bulk).

a b c (Å): 4.5143 4.5143 4.5143
angles (deg): 90.00 90.00 90.00
Closest atoms and distances in Å follow each position.
Space group Pm-3m (No. 221)
Inequivalent atoms, fractional coordinates:
Na: 0.0000 0.0000 0.0000 (multiplicity 1)  12 Tc 3.19
Tc: 0.0000 0.5000 0.5000 (multiplicity 3)  2 Ni 2.26
Ni: 0.5000 0.5000 0.5000 (multiplicity 1)  6 Tc 2.26

Values from the calculation:
For the energy of formation, the calculation gives 1.577 eV per atom. Its crystal system is cubic.


(2)
# NaTc3Ni

A relaxed NaTc3Ni crystal (PBE-GGA, Alexandria via LeMat-Bulk).

a b c (Å): 4.3947 4.3947 4.3947
angles (deg): 90.00 90.00 90.00
Closest atoms and distances in Å follow each position.
Space group Pm-3m (No. 221)
Inequivalent atoms, fractional coordinates:
Na: 0.0000 0.0000 0.0000 (multiplicity 1)  6 Tc 2.20
Tc: 0.0000 0.0000 0.5000 (multiplicity 3)  2 Na 2.20
Ni: 0.5000 0.5000 0.5000 (multiplicity 1)  12 Tc 3.11

Values from the calculation:
For the energy of formation, the calculation gives 2.775 eV per atom. Its crystal system is cubic.


(3)
# Na2TcNi

A relaxed Na2TcNi crystal (PBE-GGA, Alexandria via LeMat-Bulk).

a b c (Å): 6.6796 6.6796 6.6796
angles (deg): 90.00 90.00 90.00
Closest atoms and distances in Å follow each position.
Space group Fm-3m (No. 225)
Inequivalent atoms, fractional coordinates:
Na: 0.2500 0.2500 0.2500 (multiplicity 8)  4 Tc 2.89, 4 Ni 2.89
Tc: 0.0000 0.0000 0.0000 (multiplicity 4)  8 Na 2.89
Ni: 0.0000 0.0000 0.5000 (multiplicity 4)  8 Na 2.89

Values from the calculation:
For the energy of formation, the calculation gives 1.257 eV per atom. Its crystal system is cubic.